# Tl4PdAu2 GGA-PBE optimized geometry
# Formation enthalpy at 0 K ... -0.4 eV per formula unit
# Crystal system ... trigonal
# E ... -3.088 eV/atom
data_Tl4PdAu2
_chemical_formula_sum 'Tl12 Pd3 Au6'
_cell_length_a 4.6766
_cell_length_b 4.6766
_cell_length_c 28.9198
_cell_angle_alpha 90.00
_cell_angle_beta 90.00
_cell_angle_gamma 120.00
_space_group_name_H-M_alt 'R -3 m'
_space_group_IT_number 166
_space_group_name_Hall '-R 3 2"'
loop_
_atom_site_label
_atom_site_fract_x
_atom_site_fract_y
_atom_site_fract_z
Tl1 0.0000 0.0000 0.1258
Tl2 0.0000 0.0000 0.2985
Pd1 0.0000 0.0000 0.5000
Au1 0.0000 0.0000 0.4052


# KAg2Mo GGA-PBE optimized geometry
# Formation enthalpy at 0 K ... 3.1 eV per formula unit
# Crystal system ... monoclinic
# Offset from the most stable computed form ... 15.0 kJ per mole of atoms
# E ... -3.638 eV/atom
data_KAg2Mo
_chemical_formula_sum 'K2 Ag4 Mo2'
_cell_length_a 11.330
_cell_length_b 2.752
_cell_length_c 5.533
_cell_angle_alpha 90.00
_cell_angle_beta 103.00
_cell_angle_gamma 90.00
_space_group_name_H-M_alt 'C 1 m 1'
_space_group_IT_number 8
_space_group_name_Hall 'C -2y'
loop_
_atom_site_label
_atom_site_fract_x
_atom_site_fract_y
_atom_site_fract_z
K1 0.000 0.000 0.000
Ag1 0.256 0.500 0.142
Ag2 0.466 0.000 0.493
Mo1 0.212 0.000 0.605


# Ac3Pr2Nd GGA-PBE optimized geometry
# Formation enthalpy at 0 K ... 0.3 eV per formula unit
# Crystal system ... monoclinic
# Offset from the most stable computed form ... 0.0 kJ per mole of atoms
# E ... -4.390 eV/atom
data_Ac3Pr2Nd
_chemical_formula_sum 'Ac6 Pr4 Nd2'
_cell_length_a 9.188
_cell_length_b 3.926
_cell_length_c 13.543
_cell_angle_alpha 90.00
_cell_angle_beta 90.30
_cell_angle_gamma 90.00
_space_group_name_H-M_alt 'P 1 21/m 1'
_space_group_IT_number 11
_space_group_name_Hall '-P 2yb'
loop_
_atom_site_label
_atom_site_fract_x
_atom_site_fract_y
_atom_site_fract_z
Ac1 0.091 0.250 0.390
Ac2 0.336 0.750 0.946
Ac3 0.398 0.750 0.250
Pr1 0.078 0.250 0.111
Pr2 0.356 0.750 0.552
Nd1 0.188 0.250 0.743


# CrGaAs GGA-PBE optimized geometry
# Formation enthalpy at 0 K ... -0.1 eV per formula unit
# Crystal system ... tetragonal
# Offset from the most stable computed form ... 9.5 kJ per mole of atoms
# E ... -5.786 eV/atom
data_CrGaAs
_chemical_formula_sum 'Cr2 Ga2 As2'
_cell_length_a 3.199
_cell_length_b 3.199
_cell_length_c 8.324
_cell_angle_alpha 90.00
_cell_angle_beta 90.00
_cell_angle_gamma 90.00
_space_group_name_H-M_alt 'I 4 m m'
_space_group_IT_number 107
_space_group_name_Hall 'I 4 -2'
loop_
_atom_site_label
_atom_site_fract_x
_atom_site_fract_y
_atom_site_fract_z
Cr1 0.000 0.000 0.000
Ga1 0.000 0.000 0.324
As1 0.000 0.000 0.638